The following is a DFT calculation (PBE with a Hubbard U) of an optimized crystal structure of CoAs2HO6.

Cell lengths 5.751, 8.344, 8.344 Å; angles 77.36, 60.02, 60.02 degrees
Last column: magnetic moment on the atom in μB.
Element x y z (fractional)
Co1 0.250 0.759 0.241  2.72
Co2 0.750 0.241 0.759  2.72
As1 0.246 0.387 0.211  0.01
As2 0.754 0.613 0.789  0.01
As3 0.254 0.789 0.613  0.01
As4 0.746 0.211 0.387  0.01
O1 0.615 0.694 0.003  0.04
O2 0.014 0.285 0.377  0.01
O3 0.525 0.236 0.632  0.03
O4 0.025 0.632 0.236  0.03
O5 0.514 0.377 0.285  0.01
O6 0.986 0.715 0.623  0.01
O7 0.885 0.997 0.306  0.04
O8 0.385 0.306 0.997  0.04
O9 0.486 0.623 0.715  0.01
O10 0.975 0.368 0.764  0.03
O11 0.115 0.003 0.694  0.04
O12 0.475 0.764 0.368  0.03
H1 0.250 0.302 0.698  0.00
H2 0.750 0.698 0.302  0.00

## Properties
- electronic total energy (eV per atom) = -5.74